The following is a DFT calculation (PBE with a Hubbard U) of a relaxed TlW2F11 crystal.

Symmetry: No. 72
Electronic total energy (eV/cell): -147.24

```
28
Lattice="-4.894 4.987 5.676 4.894 -4.987 5.676 4.894 4.987 -5.676" Properties=species:S:1:pos:R:3 pbc="T T T"
Tl 0.000 0.000 2.838
Tl 0.000 0.000 8.515
W 6.297 1.556 0.000
W 1.403 3.431 0.000
W 3.491 1.556 5.676
W -1.403 3.431 5.676
F 4.894 0.000 0.000
F 2.481 -0.595 1.326
F 5.229 2.451 -1.326
F 5.229 -2.451 4.351
F 7.306 0.595 1.326
F 2.655 1.994 0.000
F 2.655 -1.994 5.676
F 2.412 4.392 -1.326
F 5.229 2.451 1.326
F 0.335 2.536 1.326
F 2.481 0.595 4.351
F 0.000 4.987 0.000
F 2.412 4.392 1.326
F 4.559 2.451 4.351
F -0.335 2.536 4.351
F 2.481 0.595 7.002
F 2.239 6.981 0.000
F 2.239 2.992 5.676
F -2.412 4.392 4.351
F -0.335 7.438 1.326
F -0.335 2.536 7.002
F 2.412 5.581 4.351
```